This record from the Alexandria database describes Ba5Zn after structural relaxation. The functional is PBEsol.

Calculated values
Magnetic moment (μB/atom): 0.001
Crystal system: tetragonal
Final energy (eV per atom): -2.08
ρ (g/cm3): 4.25

Cell lengths 4.157, 4.157, 17.001 Å; angles 90.00, 90.00, 90.00 degrees
Space group P4/mmm (No. 123)
One atom of each set of equivalent atoms:
Ba 0.000 0.000 0.000 x1
Ba 0.000 0.000 0.391 x2
Ba 0.500 0.500 0.193 x2
Zn 0.500 0.500 0.500 x1